i) This record from the Alexandria database describes an optimized crystal structure of MoH3Ir. The functional is PBE.

Lattice parameters (Å, degrees): 3.4557 3.4557 3.4557 90.00 90.00 90.00
Closest atoms and distances in Å follow each position.
Positions (direct):
Mo1 0.0000 0.0000 0.0000  6 H 1.73
H1 0.5000 0.0000 0.0000  2 Mo 1.73
H2 0.0000 0.5000 0.0000  2 Mo 1.73
Ir1 0.5000 0.5000 0.5000  12 H 2.44
H3 0.0000 0.0000 0.5000  2 Mo 1.73

Summary:
* SG: Pm-3m, No. 221
* ρ: 11.72 g/cm³
* N(E_F): 4.5 states/eV/cell



ii) This record from the Alexandria database describes an optimized crystal structure of MoH3Ir. The functional is PBE.

Lattice parameters (Å, degrees): 3.4456 3.4456 3.4456 90.00 90.00 90.00
Closest atoms and distances in Å follow each position.
Positions (direct):
Ir1 0.0000 0.0000 0.0000  6 H 1.72
H1 0.0000 0.5000 0.0000  2 Ir 1.72
Mo1 0.5000 0.5000 0.5000  12 H 2.44
H2 0.5000 0.0000 0.0000  2 Ir 1.72
H3 0.0000 0.0000 0.5000  2 Ir 1.72

Summary:
* SG: Pm-3m, No. 221
* ρ: 11.82 g/cm³
* N(E_F): 2.2 states/eV/cell



What should be chosen as the most stable of them? Choose ii).



i) This record from the Alexandria database describes an optimized crystal structure of NbMoHIr2. The functional is PBE.

Lattice parameters (Å, degrees): 3.9668 3.9668 4.0889 90.00 90.00 90.00
Closest atoms and distances in Å follow each position.
Positions (direct):
Ir1 0.0000 0.5000 0.0000  2 H 1.98
Nb1 0.5000 0.5000 0.5000  4 Mo 2.80, 8 Ir 2.85
Ir2 0.5000 0.0000 0.0000  2 H 1.98
H1 0.0000 0.0000 0.0000  4 Ir 1.98, 2 Mo 2.04
Mo1 0.0000 0.0000 0.5000  2 H 2.04

Summary:
* SG: P4/mmm, No. 123
* ρ: 14.82 g/cm³
* N(E_F): 2.1 states/eV/cell



ii) This record from the Alexandria database describes an optimized crystal structure of NbMoHIr2. The functional is PBE.

Lattice parameters (Å, degrees): 3.9552 3.9552 4.1146 90.00 90.00 90.00
Closest atoms and distances in Å follow each position.
Positions (direct):
Nb1 0.0000 0.0000 0.5000  2 H 2.06
H1 0.0000 0.0000 0.0000  4 Ir 1.98, 2 Nb 2.06
Ir1 0.5000 0.0000 0.0000  2 H 1.98
Mo1 0.5000 0.5000 0.5000  4 Nb 2.80, 8 Ir 2.85
Ir2 0.0000 0.5000 0.0000  2 H 1.98

Summary:
* SG: P4/mmm, No. 123
* ρ: 14.82 g/cm³
* N(E_F): 1.5 states/eV/cell



What should be chosen as the most stable of them? Choose i).



i) This record from the Alexandria database describes an optimized crystal structure of MoHIrOs2. The functional is PBE.

Lattice parameters (Å, degrees): 3.9474 3.9474 3.9103 90.00 90.00 90.00
Closest atoms and distances in Å follow each position.
Positions (direct):
H1 0.0000 0.0000 0.0000  2 Ir 1.96, 4 Os 1.97
Ir1 0.0000 0.0000 0.5000  2 H 1.96
Os1 0.0000 0.5000 0.0000  2 H 1.97
Mo1 0.5000 0.5000 0.5000  8 Os 2.78, 4 Ir 2.79
Os2 0.5000 0.0000 0.0000  2 H 1.97

Summary:
* SG: P4/mmm, No. 123
* ρ: 18.25 g/cm³
* N(E_F): 2.3 states/eV/cell



ii) This record from the Alexandria database describes an optimized crystal structure of MoHIrOs2. The functional is PBE.

Lattice parameters (Å, degrees): 3.9134 3.9134 3.9668 90.00 90.00 90.00
Closest atoms and distances in Å follow each position.
Positions (direct):
Os1 0.5000 0.0000 0.0000  2 H 1.96
Ir1 0.5000 0.5000 0.5000  4 Mo 2.77, 8 Os 2.79
H1 0.0000 0.0000 0.0000  4 Os 1.96, 2 Mo 1.98
Mo1 0.0000 0.0000 0.5000  2 H 1.98
Os2 0.0000 0.5000 0.0000  2 H 1.96

Summary:
* SG: P4/mmm, No. 123
* ρ: 18.30 g/cm³
* N(E_F): 3.5 states/eV/cell



What should be chosen as the most stable of them? Choose ii).



i) This record from the Alexandria database describes an optimized crystal structure of Mo2HIrPd. The functional is PBE.

Lattice parameters (Å, degrees): 4.9400 4.9400 3.0977 90.00 90.00 90.00
Closest atoms and distances in Å follow each position.
Positions (direct):
Mo1 0.0000 0.5000 0.0000  2 Ir 2.47
Ir1 0.0000 0.0000 0.0000  2 H 1.55
H1 0.0000 0.0000 0.5000  2 Ir 1.55
Pd1 0.5000 0.5000 0.5000  8 Mo 2.92, 2 Pd 3.10
Mo2 0.5000 0.0000 0.0000  2 Ir 2.47

Summary:
* SG: P4/mmm, No. 123
* ρ: 10.80 g/cm³
* N(E_F): 5.9 states/eV/cell



ii) This record from the Alexandria database describes an optimized crystal structure of Mo2HIrPd. The functional is PBE.

Lattice parameters (Å, degrees): 3.9325 3.9325 4.0646 90.00 90.00 90.00
Closest atoms and distances in Å follow each position.
Positions (direct):
Mo1 0.5000 0.0000 0.0000  2 H 1.97
Mo2 0.0000 0.5000 0.0000  2 H 1.97
Pd1 0.0000 0.0000 0.5000  2 H 2.03
H1 0.0000 0.0000 0.0000  4 Mo 1.97, 2 Pd 2.03
Ir1 0.5000 0.5000 0.5000  4 Pd 2.78, 8 Mo 2.83

Summary:
* SG: P4/mmm, No. 123
* ρ: 12.99 g/cm³
* N(E_F): 4.2 states/eV/cell



What should be chosen as the most stable of them? Choose ii).



i) This record from the Alexandria database describes an optimized crystal structure of ReMo2HIr. The functional is PBE.

Lattice parameters (Å, degrees): 3.9884 3.9884 3.9534 90.00 90.00 90.00
Closest atoms and distances in Å follow each position.
Positions (direct):
Ir1 0.5000 0.5000 0.5000  8 Mo 2.81, 4 Re 2.82
Mo1 0.5000 0.0000 0.0000  2 H 1.99
H1 0.0000 0.0000 0.0000  2 Re 1.98, 4 Mo 1.99
Mo2 0.0000 0.5000 0.0000  2 H 1.99
Re1 0.0000 0.0000 0.5000  2 H 1.98

Summary:
* SG: P4/mmm, No. 123
* ρ: 15.09 g/cm³
* N(E_F): 3.7 states/eV/cell



ii) This record from the Alexandria database describes an optimized crystal structure of ReMo2HIr. The functional is PBE.

Lattice parameters (Å, degrees): 4.0106 4.0106 3.9133 90.00 90.00 90.00
Closest atoms and distances in Å follow each position.
Positions (direct):
Ir1 0.0000 0.0000 0.5000  2 H 1.96
H1 0.0000 0.0000 0.0000  2 Ir 1.96, 4 Mo 2.01
Re1 0.5000 0.5000 0.5000  8 Mo 2.80, 4 Ir 2.84
Mo1 0.0000 0.5000 0.0000  2 H 2.01
Mo2 0.5000 0.0000 0.0000  2 H 2.01

Summary:
* SG: P4/mmm, No. 123
* ρ: 15.07 g/cm³
* N(E_F): 3.5 states/eV/cell



What should be chosen as the most stable of them? Choose i).



i) This record from the Alexandria database describes an optimized crystal structure of MoHIr2Ru. The functional is PBE.

Lattice parameters (Å, degrees): 3.9120 3.9120 3.9668 90.00 90.00 90.00
Closest atoms and distances in Å follow each position.
Positions (direct):
Ru1 0.0000 0.0000 0.5000  2 H 1.98
Mo1 0.5000 0.5000 0.5000  4 Ru 2.77, 8 Ir 2.79
Ir1 0.0000 0.5000 0.0000  2 H 1.96
H1 0.0000 0.0000 0.0000  4 Ir 1.96, 2 Ru 1.98
Ir2 0.5000 0.0000 0.0000  2 H 1.96

Summary:
* SG: P4/mmm, No. 123
* ρ: 15.93 g/cm³
* N(E_F): 3.0 states/eV/cell



ii) This record from the Alexandria database describes an optimized crystal structure of MoHIr2Ru. The functional is PBE.

Lattice parameters (Å, degrees): 3.8867 3.8867 4.0247 90.00 90.00 90.00
Closest atoms and distances in Å follow each position.
Positions (direct):
Ir1 0.0000 0.5000 0.0000  2 H 1.94
Ir2 0.5000 0.0000 0.0000  2 H 1.94
H1 0.0000 0.0000 0.0000  4 Ir 1.94, 2 Mo 2.01
Mo1 0.0000 0.0000 0.5000  2 H 2.01
Ru1 0.5000 0.5000 0.5000  4 Mo 2.75, 8 Ir 2.80

Summary:
* SG: P4/mmm, No. 123
* ρ: 15.91 g/cm³
* N(E_F): 3.2 states/eV/cell



What should be chosen as the most stable of them? Choose i).